Entry 1:
Here is a geometry-optimized TiSiNi2 structure from Alexandria. Energies are from PBE.

## Properties
The value obtained for the formation energy from raw total energies is -48.7 kJ per mole of atoms. As for the space group: No. 123. The total magnetization is 0.00 Bohr magnetons per cell. The calculation puts the volume at 50 Å³ per cell.

Cell lengths 3.725, 3.725, 3.574 Å; angles 90.00, 90.00, 90.00 degrees
Positions (direct):
Ti: 0.000 0.000 0.000
Si: 0.500 0.500 0.000
Ni: 0.000 0.500 0.500
Ni: 0.500 0.000 0.500

Entry 2:
Here is a geometry-optimized RbUTe3Pt structure from Alexandria. Energies are from PBE.

## Properties
The value obtained for the formation energy from raw total energies is -71.9 kJ per mole of atoms. As for the space group: No. 63. The total magnetization is 2.80 Bohr magnetons per cell. The calculation puts the volume at 398 Å³ per cell.

Cell lengths 8.801, 8.801, 11.028 Å; angles 90.00, 90.00, 152.26 degrees
Positions (direct):
Rb: 0.248 0.752 0.750
Rb: 0.752 0.248 0.250
U: 0.000 0.000 0.000
U: 0.000 0.000 0.500
Te: 0.070 0.930 0.250
Te: 0.376 0.624 0.057
Te: 0.376 0.624 0.443
Te: 0.624 0.376 0.557
Te: 0.624 0.376 0.943
Te: 0.930 0.070 0.750
Pt: 0.473 0.527 0.250
Pt: 0.527 0.473 0.750

Entry 3:
Here is a geometry-optimized NdTl2Cu2Se4 structure from Alexandria. Energies are from PBE.

## Properties
The value obtained for the formation energy from raw total energies is -70.4 kJ per mole of atoms. As for the space group: No. 12. The total magnetization is 0.00 Bohr magnetons per cell. The calculation puts the volume at 236 Å³ per cell.

Cell lengths 7.863, 7.863, 8.065 Å; angles 107.65, 107.65, 29.89 degrees
Positions (direct):
Nd: 0.000 0.000 0.000
Tl: 0.133 0.133 0.560
Tl: 0.867 0.867 0.440
Cu: 0.317 0.317 0.009
Cu: 0.683 0.683 0.991
Se: 0.205 0.205 0.178
Se: 0.470 0.470 0.241
Se: 0.530 0.530 0.759
Se: 0.795 0.795 0.822